Computed, not measured: a relaxed Sc4TcAg3 crystal at the PBE-GGA level of DFT.

The value obtained for the energy of formation is -278.7 meV/atom. Its space group is P4/mmm, No. 123.

Cell lengths 3.3493, 3.3493, 13.8529 Å; angles 90.00, 90.00, 90.00 degrees
Atoms (fractional coordinates):
1 Tc 0.5000 0.5000 0.0000
2 Ag 0.5000 0.5000 0.7564
3 Ag 0.5000 0.5000 0.5000
4 Ag 0.5000 0.5000 0.2436
5 Sc 0.0000 0.0000 0.1084
6 Sc 0.0000 0.0000 0.8916
7 Sc 0.0000 0.0000 0.6280
8 Sc 0.0000 0.0000 0.3720